Density functional theory data (PBE) for a relaxed structure of Ac2GdNi.

Lattice parameters (Å, degrees): 3.748 3.748 9.110 90.00 90.00 90.00
Fractional coordinates of all 4 atoms:
1 Ac 0.000 0.000 0.195
2 Ac 0.000 0.000 0.805
3 Gd 0.500 0.500 0.500
4 Ni 0.500 0.500 0.000

Output
Formation energy (eV/f.u.): -0.1
Spin magnetization (μB per formula unit): 8.37


Density functional theory data (PBE) for a relaxed structure of As4Ru.

Lattice parameters (Å, degrees): 4.911 4.911 4.911 103.18 103.18 122.96
Fractional coordinates of all 5 atoms:
1 As 0.121 0.698 0.819
2 As 0.302 0.121 0.424
3 As 0.698 0.879 0.576
4 As 0.879 0.302 0.181
5 Ru 0.500 0.500 0.000

Output
Formation energy (eV/f.u.): 1.8
Spin magnetization (μB per formula unit): 0.00


Density functional theory data (PBE) for a relaxed structure of LaPm6Er.

Lattice parameters (Å, degrees): 5.154 5.154 10.314 90.00 90.00 90.00
Fractional coordinates of all 8 atoms:
1 La 0.000 0.000 0.000
2 Pm 0.000 0.500 0.254
3 Pm 0.000 0.500 0.746
4 Pm 0.500 0.000 0.254
5 Pm 0.500 0.000 0.746
6 Pm 0.500 0.500 0.000
7 Pm 0.500 0.500 0.500
8 Er 0.000 0.000 0.500

Output
Formation energy (eV/f.u.): 0.2
Spin magnetization (μB per formula unit): 0.00


Density functional theory data (PBE) for a relaxed structure of SmScTe.

Lattice parameters (Å, degrees): 9.579 9.579 9.965 101.43 101.43 23.33
Fractional coordinates of all 12 atoms:
1 Sm 0.075 0.075 0.413
2 Sm 0.420 0.420 0.154
3 Sm 0.580 0.580 0.846
4 Sm 0.925 0.925 0.587
5 Sc 0.208 0.208 0.097
6 Sc 0.281 0.281 0.628
7 Sc 0.719 0.719 0.372
8 Sc 0.792 0.792 0.903
9 Te 0.330 0.330 0.370
10 Te 0.410 0.410 0.839
11 Te 0.590 0.590 0.161
12 Te 0.670 0.670 0.630

Output
Uncorrected energy (eV/atom): -5.3948
Spin magnetization (μB per formula unit): 0.00